# 1
# VHO3 PBE with a Hubbard U relaxed
# energy: -6.686 eV/atom
# total magnetic moment: 0.00 μB per cell
# D(E_F): 0.000 states/eV per atom
data_VHO3
_cell_length_a 5.296
_cell_length_b 8.584
_cell_length_c 8.956
_cell_angle_alpha 98.33
_cell_angle_beta 90.56
_cell_angle_gamma 105.67
_space_group_name_H-M_alt 'P 1'
_space_group_IT_number 1
_space_group_name_Hall 'P 1'
loop_
_atom_site_label
_atom_site_fract_x
_atom_site_fract_y
_atom_site_fract_z
V1 0.000 0.000 0.000
V2 0.004 0.003 0.388
V3 0.066 0.665 0.460
V4 0.070 0.666 0.833
V5 0.451 0.879 0.181
V6 0.618 0.792 0.663
H1 0.281 0.211 0.219
H2 0.316 0.444 0.260
H3 0.386 0.243 0.848
H4 0.588 0.173 0.742
H5 0.598 0.411 0.266
H6 0.707 0.365 0.844
O1 0.137 0.162 0.922
O2 0.145 0.159 0.511
O3 0.165 0.082 0.205
O4 0.189 0.837 0.017
O5 0.194 0.838 0.328
O6 0.391 0.658 0.504
O7 0.395 0.664 0.789
O8 0.416 0.368 0.220
O9 0.536 0.963 0.685
O10 0.542 0.713 0.160
O11 0.548 0.277 0.785
O12 0.687 0.009 0.052
O13 0.688 0.018 0.335
O14 0.878 0.833 0.514
O15 0.886 0.835 0.822
O16 0.924 0.505 0.914
O17 0.929 0.508 0.331
O18 0.936 0.597 0.638

=====

# 2
# VHO2 PBE with a Hubbard U relaxed
# energy: -4.951 eV/atom
# total magnetic moment: 3.12 μB per cell
# D(E_F): 0.448 states/eV per atom
data_VHO2
_cell_length_a 2.9026
_cell_length_b 2.9026
_cell_length_c 16.2468
_cell_angle_alpha 90.00
_cell_angle_beta 90.00
_cell_angle_gamma 120.00
_space_group_name_H-M_alt 'R -3 m'
_space_group_IT_number 166
_space_group_name_Hall '-R 3 2"'
loop_
_atom_site_label
_atom_site_fract_x
_atom_site_fract_y
_atom_site_fract_z
V1 0.0000 0.0000 0.0000
H1 0.0000 0.0000 0.5000
O1 0.0000 0.0000 0.1070